Here is an optimized crystal structure of NdSi3N5 from Alexandria via LeMat-Bulk. Energies are from GGA-PBE.

The structure belongs to space group P2_12_12_1 (No. 19); the cell edges are 4.799, 7.867 and 11.308 Å and the angles 90.00°, 90.00° and 90.00°. The inequivalent atoms are Nd at (0.003, 0.059, 0.172), Si at (0.015, 0.293, 0.583), Si at (0.017, 0.163, 0.838), Si at (0.027, 0.466, 0.041), N at (0.050, 0.344, 0.918), N at (0.171, 0.207, 0.704), N at (0.171, 0.387, 0.168), N at (0.188, 0.981, 0.905) and N at (0.209, 0.649, 0.988).

As for the total energy: -8.20 eV per atom.